This record from Alexandria describes an optimized crystal structure of Sc3AgC. The functional is GGA-PBE. Values from VASP.

Structure (Quantum ESPRESSO input):
```
&SYSTEM
  ibrav = 0, nat = 10, ntyp = 3
/
ATOMIC_SPECIES
C 12.01 C.upf
Sc 44.96 Sc.upf
Ag 107.87 Ag.upf
ATOMIC_POSITIONS crystal
C 0.250 0.750 0.601
C 0.750 0.250 0.399
Sc 0.250 0.989 0.844
Sc 0.250 0.511 0.844
Sc 0.750 0.750 0.570
Sc 0.250 0.250 0.430
Sc 0.750 0.011 0.156
Sc 0.750 0.489 0.156
Ag 0.750 0.250 0.737
Ag 0.250 0.750 0.263
CELL_PARAMETERS angstrom
-0.523 4.232 1.877
-5.938 -0.585 -0.337
-0.079 -2.739 6.152
```

Values from the calculation:
Energy relative to the lowest polymorph listed for this composition = 332 meV/atom
DOS(E_F) = 3.56 states/eV per cell
Size of the total moment = 0.00 μB per formula unit
Volume = 18.75 Å³/atom
Calculated total energy = -62.8 eV for the cell shown
Energy relative to the elements = -0.07 eV per atom